Compound: Ca2ZnHg
Source: Alexandria
Functional: PBE
Structure: optimized geometry

a = 3.7389 Å, b = 3.7138 Å, c = 8.3770 Å
α = 63.84°, β = 90.00°, γ = 90.00°
Sites, in units of the cell vectors:
Zn  0.5000  0.7500  0.7500
Ca  0.0000  0.0068  0.9932
Ca  0.0000  0.4932  0.5068
Hg  0.5000  0.2500  0.2500

Values from the calculation:
* E: -1.786 eV per atom
* crystal system: monoclinic


Compound: BeHgIr
Source: Alexandria
Functional: PBE
Structure: optimized geometry

a = 3.9876 Å, b = 3.9876 Å, c = 3.3328 Å
α = 90.00°, β = 90.00°, γ = 120.00°
Sites, in units of the cell vectors:
Be  0.0000  0.0000  0.8338
Ir  0.6667  0.3333  0.8330
Hg  0.3333  0.6667  0.3332

Values from the calculation:
* E: -4.114 eV per atom
* crystal system: hexagonal